The following is a DFT calculation (PBE) of a geometry-optimized Ba3Hg9Pb2 structure.

Computed properties:
The crystal system is orthorhombic. As for the formation energy: -0.362 eV/atom.

Lattice parameters (Å, degrees): 5.381 10.186 9.754 121.48 106.01 90.00
Sites, in units of the cell vectors:
Pb (0.500, 0.328, 0.000)
Pb (0.500, 0.672, 0.000)
Ba (0.713, 0.713, 0.426)
Ba (0.287, 0.287, 0.574)
Ba (0.000, 0.000, 0.000)
Hg (0.145, 0.433, 0.289)
Hg (0.342, 0.699, 0.684)
Hg (0.342, 0.986, 0.684)
Hg (0.658, 0.014, 0.316)
Hg (0.855, 0.567, 0.711)
Hg (0.145, 0.856, 0.289)
Hg (0.000, 0.500, 0.000)
Hg (0.855, 0.144, 0.711)
Hg (0.658, 0.301, 0.316)